w) Computed, not measured: crystalline NaTa3Zn at its relaxed geometry at the GGA-PBE level of DFT.

The value obtained for the total moment is 0.00 μB/cell.

It has space group Pm-3m (No. 221), with a = 4.656 Å, b = 4.656 Å, c = 4.656 Å, α = 90.00°, β = 90.00° and γ = 90.00°. The inequivalent atoms are Na at (0.000, 0.000, 0.000), Ta at (0.000, 0.000, 0.500) and Zn at (0.500, 0.500, 0.500).

x) Computed, not measured: crystalline NaTa3Zn at its relaxed geometry at the GGA-PBE level of DFT.

The value obtained for the total moment is 0.00 μB/cell.

It has space group Pm-3m (No. 221), with a = 4.803 Å, b = 4.803 Å, c = 4.803 Å, α = 90.00°, β = 90.00° and γ = 90.00°. The inequivalent atoms are Na at (0.000, 0.000, 0.000), Ta at (0.000, 0.500, 0.500) and Zn at (0.500, 0.500, 0.500).

Which structure is the most stable? The one labeled x).